Below is a relaxed structure of CsSrVF6, with properties calculated at the GGA+U level.

Computed properties:
density of states at the Fermi level	0.0000	states/eV/atom
final energy	-0.41291	Ry per atom

Cell: 8.154 7.784 7.722 Å, 120.26 121.87 90.00°
Each line ends with the local moment (μB).
Fractional positions:
V (0.500, 0.000, 0.000)  1.91
V (0.500, 0.500, 0.000)  1.91
Cs (0.851, 0.601, 0.702)  0.00
Cs (0.149, 0.399, 0.298)  0.00
F (0.865, 0.115, 0.730)  0.00
F (0.135, 0.885, 0.270)  0.00
F (0.202, 0.846, 0.742)  0.00
F (0.442, 0.192, 0.884)  0.01
F (0.460, 0.605, 0.258)  0.00
F (0.460, 0.154, 0.258)  0.00
F (0.558, 0.808, 0.116)  0.01
F (0.798, 0.154, 0.258)  0.00
F (0.540, 0.395, 0.742)  0.00
F (0.202, 0.395, 0.742)  0.00
F (0.540, 0.846, 0.742)  0.00
F (0.798, 0.605, 0.258)  0.00
Sr (0.000, 0.000, 0.500)  0.00
Sr (0.500, 0.000, 0.500)  0.00